1.
# PBEsol ZrBe2, optimized geometry
data_ZrBe2
_chemical_formula_sum 'Zr2 Be4'
_space_group_name_H-M_alt 'P 1'
_space_group_IT_number 1
_cell_length_a 3.795
_cell_length_b 3.795
_cell_length_c 6.405
_cell_angle_alpha 90.00
_cell_angle_beta 90.00
_cell_angle_gamma 120.00
loop_
_space_group_symop_operation_xyz
'x,y,z'
loop_
_atom_site_label
_atom_site_type_symbol
_atom_site_fract_x
_atom_site_fract_y
_atom_site_fract_z
_atom_site_occupancy
Zr1 Zr 0.000 0.000 0.250 1
Zr2 Zr 0.000 0.000 0.750 1
Be1 Be 0.333 0.667 0.020 1
Be2 Be 0.333 0.667 0.480 1
Be3 Be 0.667 0.333 0.520 1
Be4 Be 0.667 0.333 0.980 1
# calculated volume = 13.31 Å³ per atom
# E_form = -0.16 eV/atom

=====

2.
# PBEsol Zr4Be, optimized geometry
data_Zr4Be
_chemical_formula_sum 'Zr8 Be2'
_space_group_name_H-M_alt 'P 1'
_space_group_IT_number 1
_cell_length_a 3.860
_cell_length_b 3.860
_cell_length_c 14.461
_cell_angle_alpha 90.00
_cell_angle_beta 90.00
_cell_angle_gamma 90.00
loop_
_space_group_symop_operation_xyz
'x,y,z'
loop_
_atom_site_label
_atom_site_type_symbol
_atom_site_fract_x
_atom_site_fract_y
_atom_site_fract_z
_atom_site_occupancy
Zr1 Zr 0.000 0.000 0.085 1
Zr2 Zr 0.000 0.000 0.915 1
Zr3 Zr 0.000 0.500 0.250 1
Zr4 Zr 0.000 0.500 0.750 1
Zr5 Zr 0.500 0.000 0.250 1
Zr6 Zr 0.500 0.000 0.750 1
Zr7 Zr 0.500 0.500 0.415 1
Zr8 Zr 0.500 0.500 0.585 1
Be1 Be 0.000 0.000 0.500 1
Be2 Be 0.500 0.500 0.000 1
# calculated volume = 21.55 Å³ per atom
# E_form = 0.73 eV/atom

=====

3.
# PBEsol ZrBe2, optimized geometry
data_ZrBe2
_chemical_formula_sum 'Zr4 Be8'
_space_group_name_H-M_alt 'P 1'
_space_group_IT_number 1
_cell_length_a 3.436
_cell_length_b 5.063
_cell_length_c 9.080
_cell_angle_alpha 90.00
_cell_angle_beta 90.00
_cell_angle_gamma 90.00
loop_
_space_group_symop_operation_xyz
'x,y,z'
loop_
_atom_site_label
_atom_site_type_symbol
_atom_site_fract_x
_atom_site_fract_y
_atom_site_fract_z
_atom_site_occupancy
Zr1 Zr 0.000 0.000 0.182 1
Zr2 Zr 0.000 0.000 0.818 1
Zr3 Zr 0.500 0.500 0.318 1
Zr4 Zr 0.500 0.500 0.682 1
Be1 Be 0.000 0.216 0.500 1
Be2 Be 0.000 0.500 0.107 1
Be3 Be 0.000 0.500 0.893 1
Be4 Be 0.000 0.784 0.500 1
Be5 Be 0.500 0.000 0.393 1
Be6 Be 0.500 0.000 0.607 1
Be7 Be 0.500 0.284 0.000 1
Be8 Be 0.500 0.716 0.000 1
# calculated volume = 13.17 Å³ per atom
# E_form = -0.09 eV/atom

=====

4.
# PBEsol ZrBe2, optimized geometry
data_ZrBe2
_chemical_formula_sum 'Zr2 Be4'
_space_group_name_H-M_alt 'P 1'
_space_group_IT_number 1
_cell_length_a 2.592
_cell_length_b 3.043
_cell_length_c 9.738
_cell_angle_alpha 90.00
_cell_angle_beta 90.00
_cell_angle_gamma 90.00
loop_
_space_group_symop_operation_xyz
'x,y,z'
loop_
_atom_site_label
_atom_site_type_symbol
_atom_site_fract_x
_atom_site_fract_y
_atom_site_fract_z
_atom_site_occupancy
Zr1 Zr 0.000 0.000 0.000 1
Zr2 Zr 0.500 0.500 0.500 1
Be1 Be 0.000 0.000 0.301 1
Be2 Be 0.000 0.000 0.699 1
Be3 Be 0.500 0.500 0.199 1
Be4 Be 0.500 0.500 0.801 1
# calculated volume = 12.80 Å³ per atom
# E_form = 0.01 eV/atom

=====

5.
# PBEsol Zr2Be, optimized geometry
data_Zr2Be
_chemical_formula_sum 'Zr8 Be4'
_space_group_name_H-M_alt 'P 1'
_space_group_IT_number 1
_cell_length_a 5.771
_cell_length_b 4.273
_cell_length_c 8.618
_cell_angle_alpha 90.00
_cell_angle_beta 90.00
_cell_angle_gamma 90.00
loop_
_space_group_symop_operation_xyz
'x,y,z'
loop_
_atom_site_label
_atom_site_type_symbol
_atom_site_fract_x
_atom_site_fract_y
_atom_site_fract_z
_atom_site_occupancy
Zr1 Zr 0.057 0.250 0.184 1
Zr2 Zr 0.133 0.250 0.581 1
Zr3 Zr 0.367 0.750 0.081 1
Zr4 Zr 0.443 0.750 0.684 1
Zr5 Zr 0.557 0.250 0.316 1
Zr6 Zr 0.633 0.250 0.919 1
Zr7 Zr 0.867 0.750 0.419 1
Zr8 Zr 0.943 0.750 0.816 1
Be1 Be 0.181 0.250 0.888 1
Be2 Be 0.319 0.750 0.388 1
Be3 Be 0.681 0.250 0.612 1
Be4 Be 0.819 0.750 0.112 1
# calculated volume = 17.71 Å³ per atom
# E_form = 0.00 eV/atom

=====

6.
# PBEsol Zr2Be, optimized geometry
data_Zr2Be
_chemical_formula_sum 'Zr4 Be2'
_space_group_name_H-M_alt 'P 1'
_space_group_IT_number 1
_cell_length_a 4.597
_cell_length_b 4.597
_cell_length_c 5.798
_cell_angle_alpha 90.00
_cell_angle_beta 90.00
_cell_angle_gamma 120.00
loop_
_space_group_symop_operation_xyz
'x,y,z'
loop_
_atom_site_label
_atom_site_type_symbol
_atom_site_fract_x
_atom_site_fract_y
_atom_site_fract_z
_atom_site_occupancy
Zr1 Zr 0.000 0.000 0.000 1
Zr2 Zr 0.000 0.000 0.500 1
Zr3 Zr 0.333 0.667 0.250 1
Zr4 Zr 0.667 0.333 0.750 1
Be1 Be 0.333 0.667 0.750 1
Be2 Be 0.667 0.333 0.250 1
# calculated volume = 17.68 Å³ per atom
# E_form = 0.04 eV/atom

=====

7.
# PBEsol Zr2Be, optimized geometry
data_Zr2Be
_chemical_formula_sum 'Zr4 Be2'
_space_group_name_H-M_alt 'P 1'
_space_group_IT_number 1
_cell_length_a 3.140
_cell_length_b 3.140
_cell_length_c 10.874
_cell_angle_alpha 90.00
_cell_angle_beta 90.00
_cell_angle_gamma 90.00
loop_
_space_group_symop_operation_xyz
'x,y,z'
loop_
_atom_site_label
_atom_site_type_symbol
_atom_site_fract_x
_atom_site_fract_y
_atom_site_fract_z
_atom_site_occupancy
Zr1 Zr 0.000 0.000 0.149 1
Zr2 Zr 0.000 0.000 0.851 1
Zr3 Zr 0.500 0.500 0.351 1
Zr4 Zr 0.500 0.500 0.649 1
Be1 Be 0.000 0.000 0.500 1
Be2 Be 0.500 0.500 0.000 1
# calculated volume = 17.87 Å³ per atom
# E_form = 0.00 eV/atom

=====

8.
# PBEsol ZrBe2, optimized geometry
data_ZrBe2
_chemical_formula_sum 'Zr1 Be2'
_space_group_name_H-M_alt 'P 1'
_space_group_IT_number 1
_cell_length_a 3.795
_cell_length_b 3.795
_cell_length_c 3.204
_cell_angle_alpha 90.00
_cell_angle_beta 90.00
_cell_angle_gamma 120.00
loop_
_space_group_symop_operation_xyz
'x,y,z'
loop_
_atom_site_label
_atom_site_type_symbol
_atom_site_fract_x
_atom_site_fract_y
_atom_site_fract_z
_atom_site_occupancy
Zr1 Zr 0.000 0.000 0.000 1
Be1 Be 0.333 0.667 0.500 1
Be2 Be 0.667 0.333 0.500 1
# calculated volume = 13.32 Å³ per atom
# E_form = -0.15 eV/atom

=====

What is the calculated volume in the sixth record? 17.68 Å³ per atom

=====

Among the records above, which one has the highest calculated volume? Zr4Be

=====

Copy entry 2 word for word.
# PBEsol Zr4Be, optimized geometry
data_Zr4Be
_chemical_formula_sum 'Zr8 Be2'
_space_group_name_H-M_alt 'P 1'
_space_group_IT_number 1
_cell_length_a 3.860
_cell_length_b 3.860
_cell_length_c 14.461
_cell_angle_alpha 90.00
_cell_angle_beta 90.00
_cell_angle_gamma 90.00
loop_
_space_group_symop_operation_xyz
'x,y,z'
loop_
_atom_site_label
_atom_site_type_symbol
_atom_site_fract_x
_atom_site_fract_y
_atom_site_fract_z
_atom_site_occupancy
Zr1 Zr 0.000 0.000 0.085 1
Zr2 Zr 0.000 0.000 0.915 1
Zr3 Zr 0.000 0.500 0.250 1
Zr4 Zr 0.000 0.500 0.750 1
Zr5 Zr 0.500 0.000 0.250 1
Zr6 Zr 0.500 0.000 0.750 1
Zr7 Zr 0.500 0.500 0.415 1
Zr8 Zr 0.500 0.500 0.585 1
Be1 Be 0.000 0.000 0.500 1
Be2 Be 0.500 0.500 0.000 1
# calculated volume = 21.55 Å³ per atom
# E_form = 0.73 eV/atom

=====

Among the records above, which one has the lowest calculated volume? number 4